8
Lattice="-6.7518 2.2598 -2.7980 -0.5161 -6.4985 -4.0030 -4.7146 -3.1348 -1.6128" Properties=species:S:1:pos:R:3 comment="Zn2WF PBE+U relaxed" polymorph_energy_mev_per_atom=0 final_energy_ev_per_atom=-2.916 sg="I-42d, No. 122" pbc="T T T"
Zn -9.8779 -5.8399 -7.0249
Zn -2.5739 -4.4863 -3.3496
W -7.5502 -1.4972 -3.9056
Zn -6.2789 -4.1608 -3.8956
W 0.0000 0.0000 0.0000
Zn -5.2343 -0.2602 -2.5575
F -4.4323 -5.8764 -4.5081
F -3.6339 -2.1194 -3.4005

=====

4
Lattice="1.6177 0.0000 8.3677 -0.8088 1.4010 8.3677 -0.8088 -1.4010 8.3677" Properties=species:S:1:pos:R:3 comment="ZnWF2 PBE+U relaxed" polymorph_energy_mev_per_atom=0 final_energy_ev_per_atom=-4.007 sg="R-3m, No. 166" pbc="T T T"
W 0.0000 0.0000 0.0000
F 0.0000 0.0000 23.1563
F 0.0000 0.0000 1.9468
Zn 0.0000 0.0000 12.5516

=====

4
Lattice="-4.3200 -0.9911 -0.3472 -2.9889 2.1990 2.4486 -2.7890 2.8660 -1.9423" Properties=species:S:1:pos:R:3 comment="Zn2WF PBE+U relaxed" polymorph_energy_mev_per_atom=496 final_energy_ev_per_atom=-2.420 sg="Fm-3m, No. 225" pbc="T T T"
Zn -2.5245 1.0185 0.0398
Zn -7.5734 3.0554 0.1194
W -5.0489 2.0369 0.0796
F 0.0000 0.0000 0.0000

=====

4
Lattice="0.0000 3.0710 3.0710 3.0710 0.0000 3.0710 3.0710 3.0710 0.0000" Properties=species:S:1:pos:R:3 comment="ZnW2F PBE+U relaxed" polymorph_energy_mev_per_atom=114 final_energy_ev_per_atom=-3.499 sg="Fm-3m, No. 225" pbc="T T T"
Zn 3.0710 3.0710 3.0710
F 0.0000 0.0000 0.0000
W 4.6066 4.6066 4.6066
W 1.5355 1.5355 1.5355

=====

8
Lattice="6.7801 0.0000 0.0000 0.0000 6.7801 0.0000 3.3900 3.3900 2.9400" Properties=species:S:1:pos:R:3 comment="ZnW2F PBE+U relaxed" polymorph_energy_mev_per_atom=0 final_energy_ev_per_atom=-3.613 sg="I-42d, No. 122" pbc="T T T"
F 3.3900 3.3900 0.0000
W 8.4751 7.9928 2.2050
Zn 0.0000 0.0000 0.0000
Zn 6.7801 3.3900 1.4700
W 4.6027 1.6950 0.7350
W 2.1773 5.0850 0.7350
F 3.3900 6.7801 1.4700
W 5.0850 5.5674 2.2050

=====

28
Lattice="-1.5376 5.2742 -8.8709 2.0327 -4.1624 -2.8271 -6.2272 -4.9069 -1.8380" Properties=species:S:1:pos:R:3 comment="ZnWF5 PBE+U relaxed" polymorph_energy_mev_per_atom=2 final_energy_ev_per_atom=-4.968 sg="P2_1/c, No. 14" pbc="T T T"
F -4.8043 -6.9645 -4.5623
F -3.5868 -0.8431 -7.2705
F -0.9107 0.6339 -10.1456
W -0.6975 -4.3312 -5.4892
Zn -5.5253 -0.7495 -11.5541
Zn -4.0372 -3.0399 -7.0371
F -3.6546 -3.0876 -8.9318
F -4.9820 -2.3020 -5.5110
F -0.7500 -1.4930 -8.0251
F -4.3491 -2.2812 -11.7449
Zn -0.2067 -3.0455 -1.9820
F -4.7213 -4.8696 -6.7446
F -4.8213 -4.4290 -3.3905
F -0.9278 3.1695 -8.9738
F -2.2282 -5.8010 -5.4241
F 0.7082 -2.7399 -5.5271
F -4.5250 -0.0043 -10.0225
W -3.8194 -6.7560 -6.4564
F -3.5038 2.0060 -8.1120
F -1.2070 -3.7908 -3.5136
W -5.0345 0.5361 -8.0469
F -1.3829 -1.5139 -1.7911
F -2.0774 -0.7075 -4.6043
W -1.9126 2.9609 -7.0797
F -2.1452 -2.9520 -6.2656
Zn -1.6948 -0.7552 -6.4990
F -6.4402 -1.0551 -8.0090
F -1.0107 1.0746 -6.7915

=====

12
Lattice="-6.3924 4.2144 2.4741 -5.3044 0.2602 6.0449 1.4182 3.3839 3.3151" Properties=species:S:1:pos:R:3 comment="ZnWF4 PBE+U relaxed" polymorph_energy_mev_per_atom=0 final_energy_ev_per_atom=-4.796 sg="C2, No. 5" pbc="T T T"
Zn -4.9274 3.1591 6.6125
F -2.0760 4.9002 5.4967
F -6.1657 1.5937 6.8261
F -8.3503 3.4952 5.8526
W -6.7816 4.7803 9.5300
F -8.7364 4.7317 8.6524
F -3.2766 3.2254 7.7527
Zn -6.0754 3.0623 3.5145
F -6.2171 4.3092 7.5459
F -3.8303 2.7092 5.0469
W -2.9268 1.0057 4.1756
F -1.3449 2.4099 3.8291

=====

5
Lattice="-4.7760 -1.3946 0.8396 -0.3562 -1.5722 -4.6377 1.5862 -4.5721 1.4282" Properties=species:S:1:pos:R:3 comment="Zr2ZnWF PBE+U relaxed" final_energy_ev_per_atom=-4.548 sg="P4/mmm, No. 123" pbc="T T T"
Zr -2.3880 -0.6973 0.4198
W -0.1781 -0.7861 -2.3189
Zn 0.0000 0.0000 0.0000
Zr 0.7931 -2.2861 0.7141
F -1.7730 -3.7695 -1.1850